The following is a PBE-GGA calculation of a geometry-optimized Y4Al2ZnIn structure, from Alexandria via LeMat-Bulk.

a = 8.9208 Å, b = 8.9208 Å, c = 8.9208 Å
α = 33.59°, β = 33.59°, γ = 33.59°
Fractional positions:
Y (0.1213, 0.1213, 0.1213)
Y (0.3716, 0.3716, 0.3716)
Y (0.6284, 0.6284, 0.6284)
Y (0.8787, 0.8787, 0.8787)
Al (0.2497, 0.2497, 0.2497)
Al (0.7503, 0.7503, 0.7503)
Zn (0.0000, 0.0000, 0.0000)
In (0.5000, 0.5000, 0.5000)

Output
formation energy	-0.43	eV per atom